# ScTaIr2, relaxed, DFT GGA-PBE
data_ScTaIr2
_chemical_formula_sum 'Sc1 Ta1 Ir2'
_space_group_name_H-M_alt 'P 1'
_space_group_IT_number 1
_space_group_name_Hall 'P 1'
_cell_length_a 5.104
_cell_length_b 5.104
_cell_length_c 4.755
_cell_angle_alpha 80.79
_cell_angle_beta 80.79
_cell_angle_gamma 33.39
loop_
_atom_site_label
_atom_site_type_symbol
_atom_site_fract_x
_atom_site_fract_y
_atom_site_fract_z
Ta1 Ta 0.266 0.266 0.196
Sc1 Sc 0.488 0.488 0.551
Ir1 Ir 0.740 0.740 0.710
Ir2 Ir 0.006 0.006 0.043
# * symmetry: Cm (8)
# * density of states at the Fermi level: 2.47 states/eV/f.u.
# * formation enthalpy at 0 K: -604.3 meV/atom
# * total energy: -9.58 eV/atom